[1]
# Th4SbOs

A relaxed Th4SbOs crystal (PBE, Alexandria via LeMat-Bulk).

As for the total magnetization: 0.0 Bohr magnetons per cell. For the raw total energy, the calculation gives -7.71 eV/atom. Its polymorph energy (0 for the lowest one) is 230 meV per atom. Its formation energy from raw total energies is -0.209 eV per atom.

It has space group P2_1/c (No. 14), with a = 7.456 Å, b = 7.256 Å, c = 7.241 Å, α = 90.00°, β = 92.34° and γ = 90.00°. The inequivalent atoms are Th at (0.135, 0.157, 0.177), Th at (0.333, 0.630, 0.121), Sb at (0.500, 0.000, 0.000) and Os at (0.000, 0.000, 0.500).



[2]
# Th4SbOs2

A relaxed Th4SbOs2 crystal (PBE, Alexandria via LeMat-Bulk).

As for the total magnetization: 0.0 Bohr magnetons per cell. For the raw total energy, the calculation gives -8.54 eV/atom. Its polymorph energy (0 for the lowest one) is 0 meV per atom. Its formation energy from raw total energies is -0.504 eV per atom.

It has space group Cmcm (No. 63), with a = 4.278 Å, b = 13.659 Å, c = 13.935 Å, α = 90.00°, β = 90.00° and γ = 90.00°. The inequivalent atoms are Th at (0.000, 0.000, 0.000), Th at (0.000, 0.264, 0.111), Th at (0.000, 0.430, 0.750), Sb at (0.000, 0.109, 0.750) and Os at (0.000, 0.373, 0.559).